## one
A geometry-optimized K2MgGeO4 structure. Source: Alexandria via LeMat-Bulk, functional PBE-GGA.

- magnetic moment (μB/cell) = 0.00
- calculated density (g cm⁻³) = 3.09

The structure in CIF format:
```
data_K2MgGeO4
_symmetry_space_group_name_H-M 'P c a 21'
_symmetry_Int_Tables_number 29
_symmetry_space_group_name_Hall 'P 2c -2ac'
_cell_length_a 11.3354
_cell_length_b 5.6574
_cell_length_c 16.0555
_cell_angle_alpha 90.00
_cell_angle_beta 90.00
_cell_angle_gamma 90.00
loop_
_atom_site_label
_atom_site_fract_x
_atom_site_fract_y
_atom_site_fract_z
K1 0.0094 0.0091 0.1203
K2 0.0105 0.5084 0.5000
K3 0.2330 0.5417 0.8748
K4 0.2363 0.0366 0.7429
Mg1 0.0104 0.5150 0.2494
Mg2 0.2375 0.0254 0.9955
Ge1 0.0093 0.0165 0.3705
Ge2 0.2352 0.5205 0.6250
O1 0.0130 0.2896 0.8498
O2 0.0233 0.8176 0.7788
O3 0.0866 0.8975 0.9532
O4 0.1003 0.3918 0.6602
O5 0.1581 0.0798 0.3998
O6 0.1733 0.5783 0.2126
O7 0.1958 0.3181 0.0553
O8 0.1989 0.7888 0.5731
```



## two
A geometry-optimized K2MgGeO4 structure. Source: Alexandria via LeMat-Bulk, functional PBE-GGA.

- magnetic moment (μB/cell) = 0.00
- calculated density (g cm⁻³) = 2.57

The structure in CIF format:
```
data_K2MgGeO4
_symmetry_space_group_name_H-M 'F d d d'
_symmetry_Int_Tables_number 70
_cell_length_a 5.1410
_cell_length_b 11.9246
_cell_length_c 20.1659
_cell_angle_alpha 90.00
_cell_angle_beta 90.00
_cell_angle_gamma 90.00
loop_
_symmetry_equiv_pos_as_xyz
'x,y,z'
'-x,-y,-z'
'-x+1/4,-y+1/4,z'
'x+1/4,y+1/4,-z'
'x,-y+1/4,-z+1/4'
'-x,y+1/4,z+1/4'
'-x+1/4,y,-z+1/4'
'x+1/4,-y,z+1/4'
'x,y+1/2,z+1/2'
'-x,-y+1/2,-z+1/2'
'-x+1/4,-y+3/4,z+1/2'
'x+1/4,y+3/4,-z+1/2'
'x,-y+3/4,-z+3/4'
'-x,y+3/4,z+3/4'
'-x+1/4,y+1/2,-z+3/4'
'x+1/4,-y+1/2,z+3/4'
'x+1/2,y,z+1/2'
'-x+1/2,-y,-z+1/2'
'-x+3/4,-y+1/4,z+1/2'
'x+3/4,y+1/4,-z+1/2'
'x+1/2,-y+1/4,-z+3/4'
'-x+1/2,y+1/4,z+3/4'
'-x+3/4,y,-z+3/4'
'x+3/4,-y,z+3/4'
'x+1/2,y+1/2,z'
'-x+1/2,-y+1/2,-z'
'-x+3/4,-y+3/4,z'
'x+3/4,y+3/4,-z'
'x+1/2,-y+3/4,-z+1/4'
'-x+1/2,y+3/4,z+1/4'
'-x+3/4,y+1/2,-z+1/4'
'x+3/4,-y+1/2,z+1/4'
loop_
_atom_site_label
_atom_site_fract_x
_atom_site_fract_y
_atom_site_fract_z
K1 0.1250 0.1250 0.3041
Mg1 0.1250 0.1250 0.1250
Ge1 0.1250 0.1250 0.6250
O1 0.1014 0.2878 0.8307
```



The data favor one; the next most stable structure lies 208 meV per atom above it.



## one
A geometry-optimized KMg2GePt structure. Source: Alexandria via LeMat-Bulk, functional PBE-GGA.

- magnetic moment (μB/cell) = 0.00
- calculated density (g cm⁻³) = 4.48

The structure in CIF format:
```
data_KMg2GePt
_symmetry_space_group_name_H-M 'P 4/m m m'
_symmetry_Int_Tables_number 123
_symmetry_space_group_name_Hall '-P 4 2'
_cell_length_a 5.2150
_cell_length_b 5.2150
_cell_length_c 4.8478
_cell_angle_alpha 90.00
_cell_angle_beta 90.00
_cell_angle_gamma 90.00
loop_
_atom_site_label
_atom_site_fract_x
_atom_site_fract_y
_atom_site_fract_z
K1 0.0000 0.0000 0.0000
Mg1 0.0000 0.5000 0.5000
Ge1 0.5000 0.5000 0.5000
Pt1 0.5000 0.5000 0.0000
```



## two
A geometry-optimized KMg2GePt structure. Source: Alexandria via LeMat-Bulk, functional PBE-GGA.

- magnetic moment (μB/cell) = 0.00
- calculated density (g cm⁻³) = 4.53

The structure in CIF format:
```
data_KMg2GePt
_symmetry_space_group_name_H-M 'P 4/m m m'
_symmetry_Int_Tables_number 123
_symmetry_space_group_name_Hall '-P 4 2'
_cell_length_a 5.1832
_cell_length_b 5.1832
_cell_length_c 4.8539
_cell_angle_alpha 90.00
_cell_angle_beta 90.00
_cell_angle_gamma 90.00
loop_
_atom_site_label
_atom_site_fract_x
_atom_site_fract_y
_atom_site_fract_z
K1 0.0000 0.0000 0.0000
Mg1 0.0000 0.5000 0.5000
Ge1 0.5000 0.5000 0.0000
Pt1 0.5000 0.5000 0.5000
```



The data favor two; the next most stable structure lies 282 meV per atom above it.